No. 1
Sm11Ga9Rh4 after structural relaxation, computed with PBE.

Calculated values
formation enthalpy at 0 K = -16.04 eV per formula unit
total magnetic moment = 0.0 μB per cell
theoretical density = 8.051 g cm⁻³

Cell: 3.7279 12.7008 12.7008 Å, 112.54 90.00 90.00°
Fractional coordinates of all 24 atoms:
Ga: 0.5000 0.7828 0.9226
Ga: 0.5000 0.6308 0.1669
Sm: 0.0000 0.1685 0.8315
Ga: 0.5000 0.3692 0.8331
Sm: 0.0000 0.3738 0.6262
Sm: 0.0000 0.6934 0.6934
Sm: 0.0000 0.0682 0.4122
Ga: 0.5000 0.0774 0.2172
Sm: 0.0000 0.5878 0.9318
Sm: 0.0000 0.0000 0.0000
Rh: 0.5000 0.2417 0.4458
Ga: 0.5000 0.2172 0.0774
Ga: 0.5000 0.8331 0.3692
Sm: 0.0000 0.3066 0.3066
Ga: 0.5000 0.5000 0.5000
Sm: 0.0000 0.9318 0.5878
Sm: 0.0000 0.4122 0.0682
Ga: 0.5000 0.1669 0.6308
Rh: 0.5000 0.4458 0.2417
Rh: 0.5000 0.5542 0.7583
Sm: 0.0000 0.6262 0.3738
Rh: 0.5000 0.7583 0.5542
Ga: 0.5000 0.9226 0.7828
Sm: 0.0000 0.8315 0.1685


No. 2
SmGa5Rh6 after structural relaxation, computed with PBE.

Calculated values
formation enthalpy at 0 K = -8.28 eV per formula unit
total magnetic moment = 0.0 μB per cell
theoretical density = 10.199 g cm⁻³

Cell: 4.3258 6.4573 6.8545 Å, 90.00 108.31 90.00°
Fractional coordinates of all 12 atoms:
Sm: 0.0000 0.0000 0.0000
Ga: 0.3343 0.5000 0.6693
Ga: 0.3299 0.0000 0.6598
Ga: 0.6701 0.0000 0.3402
Rh: 0.5000 0.7228 0.0000
Rh: 0.5000 0.2772 0.0000
Ga: 0.0000 0.5000 0.0000
Ga: 0.6657 0.5000 0.3307
Rh: 0.8260 0.2621 0.6523
Rh: 0.8260 0.7378 0.6523
Rh: 0.1740 0.2622 0.3477
Rh: 0.1740 0.7379 0.3477


No. 3
Sm8Ga2Rh after structural relaxation, computed with PBE.

Calculated values
relative energy among the computed polymorphs = 103.1 meV/atom
formation enthalpy at 0 K = -2.65 eV per formula unit
total magnetic moment = 0.0 μB per cell
theoretical density = 7.880 g cm⁻³

Cell: 4.8283 8.7548 8.7691 Å, 119.95 105.98 90.00°
Fractional coordinates of all 11 atoms:
Ga: 0.8039 0.3039 0.6078
Sm: 0.0000 0.3286 0.0000
Sm: 0.6611 0.8803 0.3221
Sm: 0.6611 0.4418 0.3222
Sm: 0.1226 0.1226 0.2453
Sm: 0.8774 0.8774 0.7547
Sm: 0.0000 0.6714 0.0000
Rh: 0.5000 0.0000 0.0000
Ga: 0.1961 0.6961 0.3922
Sm: 0.3389 0.5582 0.6778
Sm: 0.3389 0.1197 0.6779